Record 1
EuMgHgPb | PBE | optimized geometry

* space-group type: F-43m
* raw total energy: -17.580 eV for the cell shown

abc: 5.3435 5.3435 5.3435
angles: 60.00 60.00 60.00
Sites, in units of the cell vectors:
1 Mg 0.0000 0.0000 0.0000
2 Eu 0.5000 0.5000 0.5000
3 Hg 0.2500 0.2500 0.2500
4 Pb 0.7500 0.7500 0.7500

=====

Record 2
PrEuMgHg | PBE | optimized geometry

* space-group type: F-43m
* raw total energy: -18.052 eV for the cell shown

abc: 5.5267 5.5267 5.5267
angles: 60.00 60.00 60.00
Sites, in units of the cell vectors:
1 Mg 0.0000 0.0000 0.0000
2 Eu 0.2500 0.2500 0.2500
3 Pr 0.7500 0.7500 0.7500
4 Hg 0.5000 0.5000 0.5000

=====

Record 3
EuMgHgSb | PBE | optimized geometry

* E_form (uncorrected): -495.1 meV/atom
* space-group type: F-43m
* raw total energy: -18.273 eV for the cell shown

abc: 5.3487 5.3487 5.3487
angles: 60.00 60.00 60.00
Sites, in units of the cell vectors:
1 Hg 0.5000 0.5000 0.5000
2 Sb 0.0000 0.0000 0.0000
3 Mg 0.2500 0.2500 0.2500
4 Eu 0.7500 0.7500 0.7500

=====

Record 4
TbEuMgHg | PBE | optimized geometry

* space-group type: F-43m
* raw total energy: -17.823 eV for the cell shown

abc: 5.4265 5.4265 5.4265
angles: 60.00 60.00 60.00
Sites, in units of the cell vectors:
1 Mg 0.0000 0.0000 0.0000
2 Tb 0.7500 0.7500 0.7500
3 Eu 0.2500 0.2500 0.2500
4 Hg 0.5000 0.5000 0.5000

=====

Record 5
EuMgZnHg | PBE | optimized geometry

* space-group type: F-43m
* raw total energy: -14.729 eV for the cell shown

abc: 5.1115 5.1115 5.1115
angles: 60.00 60.00 60.00
Sites, in units of the cell vectors:
1 Hg 0.0000 0.0000 0.0000
2 Mg 0.2500 0.2500 0.2500
3 Zn 0.5000 0.5000 0.5000
4 Eu 0.7500 0.7500 0.7500

=====

Record 6
Eu3HgN | PBE | optimized geometry

* E_form (uncorrected): -626.3 meV/atom
* space-group type: Pm-3m
* raw total energy: -42.582 eV for the cell shown

abc: 5.0726 5.0726 5.0726
angles: 90.00 90.00 90.00
Sites, in units of the cell vectors:
1 Eu 0.0000 0.0000 0.5000
2 Eu 0.0000 0.5000 0.0000
3 Hg 0.5000 0.5000 0.5000
4 N 0.0000 0.0000 0.0000
5 Eu 0.5000 0.0000 0.0000

=====

Record 7
Eu2HgN | PBE | optimized geometry

* E_form (uncorrected): -717.7 meV/atom
* space-group type: R-3m
* ΔE to the lowest computed polymorph: 0.000 eV/atom
* raw total energy: -32.047 eV for the cell shown

abc: 3.6855 3.6855 8.4286
angles: 77.37 77.37 60.00
Sites, in units of the cell vectors:
1 Hg 0.0000 0.0000 0.0000
2 Eu 0.7771 0.7771 0.6686
3 N 0.5000 0.5000 0.5000
4 Eu 0.2229 0.2229 0.3314

=====

Record 8
Eu2HgN | PBE | optimized geometry

* E_form (uncorrected): -447.1 meV/atom
* space-group type: P4/mmm
* ΔE to the lowest computed polymorph: 0.271 eV/atom
* raw total energy: -30.964 eV for the cell shown

abc: 3.2517 3.2517 8.0949
angles: 90.00 90.00 90.00
Sites, in units of the cell vectors:
1 N 0.5000 0.5000 0.0000
2 Eu 0.0000 0.0000 0.1740
3 Eu 0.0000 0.0000 0.8260
4 Hg 0.5000 0.5000 0.5000

=====

Record 9
NaEuHg2 | PBE | optimized geometry

* space-group type: P4/mmm
* ΔE to the lowest computed polymorph: 0.011 eV/atom
* raw total energy: -13.682 eV for the cell shown

abc: 3.8256 3.8256 7.5813
angles: 90.00 90.00 90.00
Sites, in units of the cell vectors:
1 Hg 0.0000 0.0000 0.2410
2 Eu 0.5000 0.5000 0.5000
3 Na 0.5000 0.5000 0.0000
4 Hg 0.0000 0.0000 0.7590

=====

Record 10
Na2EuHg | PBE | optimized geometry

* space-group type: P4/mmm
* ΔE to the lowest computed polymorph: 0.069 eV/atom
* raw total energy: -13.525 eV for the cell shown

abc: 4.0608 4.0608 7.8982
angles: 90.00 90.00 90.00
Sites, in units of the cell vectors:
1 Na 0.0000 0.0000 0.8026
2 Eu 0.5000 0.5000 0.5000
3 Na 0.0000 0.0000 0.1974
4 Hg 0.5000 0.5000 0.0000

=====

Record 11
Na2EuHg | PBE | optimized geometry

* space-group type: R-3m
* ΔE to the lowest computed polymorph: 0.178 eV/atom
* raw total energy: -13.088 eV for the cell shown

abc: 3.6489 3.6489 12.2171
angles: 81.41 81.41 60.00
Sites, in units of the cell vectors:
1 Na 0.0988 0.0988 0.7036
2 Hg 0.5000 0.5000 0.5000
3 Eu 0.0000 0.0000 0.0000
4 Na 0.9012 0.9012 0.2964

=====

Record 12
NaEuHg2 | PBE | optimized geometry

* space-group type: R-3m
* ΔE to the lowest computed polymorph: 0.114 eV/atom
* raw total energy: -13.268 eV for the cell shown

abc: 4.1494 4.1494 8.7693
angles: 76.31 76.31 60.00
Sites, in units of the cell vectors:
1 Hg 0.7468 0.7468 0.7596
2 Na 0.0000 0.0000 0.0000
3 Eu 0.5000 0.5000 0.5000
4 Hg 0.2532 0.2532 0.2404

=====

- Which of these has the highest raw total energy?
  number 11

=====

- raw total energy of number 9 (NaEuHg2)?
  -13.682 eV for the cell shown